Entry 1:
DFT (PBE) results for a relaxed structure of TbYInTc.

Cell: 7.2000 7.2000 7.2000 Å, 90.00 90.00 90.00°
Last column: nearest neighbours and their distance in Å.
Space group F-43m (No. 216)
One atom of each set of equivalent atoms:
Tb1 0.0000 0.0000 0.0000 x4  4 Tc 3.12, 4 In 3.12
Y1 0.0000 0.0000 0.5000 x4  4 In 3.12, 4 Tc 3.12
In1 0.2500 0.2500 0.2500 x4  4 Tb 3.12, 4 Y 3.12
Tc1 0.2500 0.2500 0.7500 x4  4 Tb 3.12, 4 Y 3.12

As for the volume: 93.3 Å³/f.u. Its energy relative to the elements is -0.15 eV/atom.

Entry 2:
DFT (PBE) results for a relaxed structure of TbZrInTc.

Cell: 7.0151 7.0151 7.0151 Å, 90.00 90.00 90.00°
Last column: nearest neighbours and their distance in Å.
Space group F-43m (No. 216)
One atom of each set of equivalent atoms:
Tb1 0.0000 0.0000 0.0000 x4  4 In 3.04, 4 Tc 3.04
Zr1 0.0000 0.0000 0.5000 x4  4 Tc 3.04, 4 In 3.04
In1 0.2500 0.2500 0.7500 x4  4 Zr 3.04, 4 Tb 3.04
Tc1 0.2500 0.2500 0.2500 x4  4 Zr 3.04, 4 Tb 3.04

As for the volume: 86.3 Å³/f.u. Its energy relative to the elements is -0.15 eV/atom.

Entry 3:
DFT (PBE) results for a relaxed structure of Tb2InTe4.

Cell: 16.3118 4.3667 7.7623 Å, 90.00 116.01 90.00°
Last column: nearest neighbours and their distance in Å.
Space group C2/m (No. 12)
One atom of each set of equivalent atoms:
Tb1 0.2399 0.0000 0.2220 x4  6 Te 3.05-3.16
In1 0.0000 0.5000 0.5000 x2  6 Te 3.19
Te1 0.1217 0.5000 0.9536 x4  3 Tb 3.05-3.11, 1 In 3.19
Te2 0.1380 0.0000 0.4812 x4  3 Tb 3.12-3.16, 2 In 3.19

Its energy relative to the lowest polymorph listed for this composition is 2.09 kJ per mole of atoms. As for the volume: 248.5 Å³/f.u. The energy relative to the elements, uncorrected is -1.032 eV/atom.

Entry 4:
DFT (PBE) results for a relaxed structure of TbInTe2.

Cell: 4.4333 4.4333 24.9182 Å, 90.00 90.00 120.00°
Last column: nearest neighbours and their distance in Å.
Space group P3_221 (No. 154)
One atom of each set of equivalent atoms:
Tb1 0.0000 0.0020 0.3333 x3  6 Te 3.12
In1 0.0000 0.0006 0.8333 x3  6 Te 3.48-3.50
Te1 0.3317 0.6649 0.0715 x6  3 Tb 3.12, 2 In 3.48-3.49

As for the volume: 141.4 Å³/f.u. The energy relative to the elements, uncorrected is -0.945 eV/atom.

Entry 5:
DFT (PBE) results for a relaxed structure of TbIn2Te3.

Cell: 9.3801 4.3990 11.0655 Å, 90.00 110.19 90.00°
Last column: nearest neighbours and their distance in Å.
Space group P2_1/m (No. 11)
One atom of each set of equivalent atoms:
Tb1 0.1728 0.2500 0.1573 x2  6 Te 3.14-3.36, 2 In 3.30
In1 0.3266 0.7500 0.0170 x2  3 Te 2.92-3.13
In2 0.3379 0.2500 0.5882 x2  5 Te 3.07-3.25
Te1 0.0715 0.2500 0.8551 x2  3 Tb 3.14-3.15, 2 In 3.29
Te2 0.3201 0.7500 0.3670 x2  3 In 3.07-3.25, 2 Tb 3.15
Te3 0.4581 0.7500 0.8136 x2  5 In 2.92-3.22

As for the volume: 214.3 Å³/f.u. The energy relative to the elements, uncorrected is -0.632 eV/atom.

Entry 6:
DFT (PBE) results for a relaxed structure of Tb3InTe.

Cell: 13.4412 11.9618 8.1605 Å, 90.00 107.57 90.00°
Last column: nearest neighbours and their distance in Å.
Space group C2/c (No. 15)
One atom of each set of equivalent atoms:
Tb1 0.1224 0.1544 0.0906 x8  2 Te 3.02-3.03, 3 In 3.17-3.28
Tb2 0.1425 0.4973 0.5695 x8  2 Te 2.96-2.98, 1 In 3.30
Tb3 0.1486 0.1567 0.5449 x8  1 Te 3.00
In1 0.0000 0.0246 0.7500 x4  8 Tb 3.17-3.40
In2 0.0000 0.3421 0.2500 x4  8 Tb 3.28-3.43
Te1 0.1430 0.3192 0.8222 x8  5 Tb 2.96-3.03

Its energy relative to the lowest polymorph listed for this composition is 17.48 kJ per mole of atoms. As for the volume: 156.4 Å³/f.u. The energy relative to the elements, uncorrected is -0.520 eV/atom.